Entry 1:
A plane-wave DFT calculation with GGA-PBE was carried out for crystalline AcHgPtO at its relaxed geometry.

Computed properties:
Raw formation energy = -1511 meV/atom
Total magnetic moment = 0.000 μB per formula unit
Space-group type = P4/nmm

Lattice parameters (Å, degrees): 4.395 4.395 9.206 90.00 90.00 90.00
Fractional positions:
Hg1 0.500 0.500 0.500
Hg2 0.000 0.000 0.500
Pt1 0.500 0.000 0.686
Pt2 0.000 0.500 0.314
O1 0.000 0.000 0.000
O2 0.500 0.500 0.000
Ac1 0.500 0.000 0.131
Ac2 0.000 0.500 0.869

***

Entry 2:
A plane-wave DFT calculation with GGA-PBE was carried out for crystalline MnMo2W at its relaxed geometry.

Computed properties:
E_form = 0.0944 eV per atom
Total magnetic moment = 1.685 μB per formula unit
Energy above the lowest structure with this stoichiometry = 40.0 meV/atom
Space-group type = P2/m

Lattice parameters (Å, degrees): 4.401 2.692 5.149 80.12 90.00 90.00
Fractional positions:
Mo1 0.000 0.494 0.504
Mo2 0.000 0.006 0.996
Mn1 0.500 0.750 0.750
W1 0.500 0.250 0.250

***

Entry 3:
A plane-wave DFT calculation with GGA-PBE was carried out for crystalline CsAg2AsIr at its relaxed geometry.

Computed properties:
E_form = 0.3648 eV per atom
Total magnetic moment = 0.000 μB per formula unit
Space-group type = P4/mmm

Lattice parameters (Å, degrees): 5.316 4.695 5.316 90.00 90.00 90.00
Fractional positions:
Ag1 0.000 0.000 0.500
Ag2 0.500 0.000 0.000
Cs1 0.500 0.500 0.500
Ir1 0.000 0.500 0.000
As1 0.000 0.000 0.000

***

Entry 4:
A plane-wave DFT calculation with GGA-PBE was carried out for crystalline AlP2CS at its relaxed geometry.

Computed properties:
Raw formation energy = 1842 meV/atom
Total magnetic moment = 0.452 μB per formula unit
Energy above the lowest structure with this stoichiometry = 852.8 meV/atom
Space-group type = P4/mmm

Lattice parameters (Å, degrees): 4.625 4.625 4.493 90.00 90.00 90.00
Fractional positions:
Al1 0.000 0.000 0.000
S1 0.000 0.000 0.500
P1 0.500 0.000 0.000
P2 0.000 0.500 0.000
C1 0.500 0.500 0.500

***

Question: What is the total magnetic moment in the second record?
Answer: 1.685 μB per formula unit

***

Question: What is the total magnetic moment in the third record?
Answer: 0.000 μB per formula unit